# 1
DyMg2 PBE relaxed; space group = Cmcm; M_tot = 0.000 μB per atom; mass density = 4.5 g cm⁻³; final energy = -7.7 eV/f.u.
1.0
3.3305 0.0000 0.0000
0.0000 17.1593 0.0000
0.0000 0.0000 5.4519
Dy Mg
4 8
Cartesian
0.0000 1.8295 1.3630
0.0000 15.3298 4.0889
1.6653 6.7502 4.0889
1.6653 10.4092 1.3630
0.0000 3.7899 4.0889
0.0000 7.5586 1.3630
0.0000 9.6007 4.0889
0.0000 13.3695 1.3630
1.6653 1.0210 4.0889
1.6653 4.7898 1.3630
1.6653 12.3695 4.0889
1.6653 16.1383 1.3630

---

# 2
NbTlCoPd PBE relaxed; space group = F-43m; M_tot = 0.284 μB per atom; mass density = 11.7 g cm⁻³; final energy = -24.2 eV/f.u.
1.0
6.4110 0.0000 0.0000
0.0000 6.4110 0.0000
0.0000 0.0000 6.4110
Nb Tl Co Pd
4 4 4 4
Cartesian
0.0000 0.0000 0.0000
0.0000 3.2055 3.2055
3.2055 0.0000 3.2055
3.2055 3.2055 0.0000
0.0000 0.0000 3.2055
0.0000 3.2055 0.0000
3.2055 0.0000 0.0000
3.2055 3.2055 3.2055
1.6028 1.6028 4.8083
1.6028 4.8083 1.6028
4.8083 1.6028 1.6028
4.8083 4.8083 4.8083
1.6028 1.6028 1.6028
1.6028 4.8083 4.8083
4.8083 1.6028 4.8083
4.8083 4.8083 1.6028

---

Question: The highest mass density belongs to which entry?
Answer: NbTlCoPd

---

Copy entry 1 word for word.
DyMg2 PBE relaxed; space group = Cmcm; M_tot = 0.000 μB per atom; mass density = 4.5 g cm⁻³; final energy = -7.7 eV/f.u.
1.0
3.3305 0.0000 0.0000
0.0000 17.1593 0.0000
0.0000 0.0000 5.4519
Dy Mg
4 8
Cartesian
0.0000 1.8295 1.3630
0.0000 15.3298 4.0889
1.6653 6.7502 4.0889
1.6653 10.4092 1.3630
0.0000 3.7899 4.0889
0.0000 7.5586 1.3630
0.0000 9.6007 4.0889
0.0000 13.3695 1.3630
1.6653 1.0210 4.0889
1.6653 4.7898 1.3630
1.6653 12.3695 4.0889
1.6653 16.1383 1.3630

---

Question: Among the records above, which one has the lowest M_tot?
Answer: DyMg2

---

Question: Number 1 is which compound?
Answer: DyMg2